(1)
A relaxed CoAsSBr2 crystal. Source: Alexandria via LeMat-Bulk, functional PBE.

The final energy comes out at -2.775 eV per atom. The calculation puts the energy above the most stable polymorph in this dataset at 496 meV/atom.

The space group is P4/mmm (No. 123) and the conventional cell measures 5.150, 5.150 and 4.916 Å, with angles of 90.00, 90.00 and 90.00 degrees. The inequivalent atoms are Co at (0.000, 0.000, 0.000), As at (0.500, 0.500, 0.000), S at (0.500, 0.500, 0.500) and Br at (0.000, 0.500, 0.500).


(2)
A relaxed CoAsSBr2 crystal. Source: Alexandria via LeMat-Bulk, functional PBE.

The final energy comes out at -3.270 eV per atom. The calculation puts the energy above the most stable polymorph in this dataset at 0 meV/atom.

The space group is P4/mmm (No. 123) and the conventional cell measures 4.758, 4.758 and 4.715 Å, with angles of 90.00, 90.00 and 90.00 degrees. The inequivalent atoms are Co at (0.000, 0.000, 0.000), As at (0.000, 0.000, 0.500), S at (0.500, 0.500, 0.500) and Br at (0.000, 0.500, 0.000).


(3)
A relaxed CoAs2SBr crystal. Source: Alexandria via LeMat-Bulk, functional PBE.

The final energy comes out at -3.274 eV per atom. The calculation puts the energy above the most stable polymorph in this dataset at 607 meV/atom.

The space group is P4/mmm (No. 123) and the conventional cell measures 4.802, 4.802 and 5.181 Å, with angles of 90.00, 90.00 and 90.00 degrees. The inequivalent atoms are Co at (0.000, 0.000, 0.000), As at (0.000, 0.500, 0.500), S at (0.500, 0.500, 0.500) and Br at (0.500, 0.500, 0.000).


(4)
A relaxed CoAs2SBr crystal. Source: Alexandria via LeMat-Bulk, functional PBE.

The final energy comes out at -3.881 eV per atom. The calculation puts the energy above the most stable polymorph in this dataset at 0 meV/atom.

The space group is P4/mmm (No. 123) and the conventional cell measures 4.611, 4.611 and 4.727 Å, with angles of 90.00, 90.00 and 90.00 degrees. The inequivalent atoms are Co at (0.000, 0.000, 0.000), As at (0.000, 0.500, 0.000), S at (0.500, 0.500, 0.500) and Br at (0.000, 0.000, 0.500).


(5)
A relaxed CoSbAsBr2 crystal. Source: Alexandria via LeMat-Bulk, functional PBE.

The final energy comes out at -3.531 eV per atom. The calculation puts the energy above the most stable polymorph in this dataset at 0 meV/atom.

The space group is P4/mmm (No. 123) and the conventional cell measures 4.809, 4.809 and 4.842 Å, with angles of 90.00, 90.00 and 90.00 degrees. The inequivalent atoms are Co at (0.000, 0.000, 0.000), Sb at (0.500, 0.500, 0.500), As at (0.000, 0.000, 0.500) and Br at (0.000, 0.500, 0.000).


(6)
A relaxed ScCoAsBr2 crystal. Source: Alexandria via LeMat-Bulk, functional PBE.

The final energy comes out at -4.303 eV per atom. The calculation puts the energy above the most stable polymorph in this dataset at 0 meV/atom.

The space group is P4/mmm (No. 123) and the conventional cell measures 4.744, 4.744 and 4.845 Å, with angles of 90.00, 90.00 and 90.00 degrees. The inequivalent atoms are Sc at (0.000, 0.000, 0.000), Co at (0.500, 0.500, 0.500), As at (0.500, 0.500, 0.000) and Br at (0.000, 0.500, 0.500).


(7)
A relaxed ScCoAsBr2 crystal. Source: Alexandria via LeMat-Bulk, functional PBE.

The final energy comes out at -4.166 eV per atom. The calculation puts the energy above the most stable polymorph in this dataset at 138 meV/atom.

The space group is P4/mmm (No. 123) and the conventional cell measures 5.126, 5.126 and 5.510 Å, with angles of 90.00, 90.00 and 90.00 degrees. The inequivalent atoms are Sc at (0.000, 0.000, 0.000), Co at (0.500, 0.500, 0.500), As at (0.000, 0.000, 0.500) and Br at (0.000, 0.500, 0.000).


(8)
A relaxed CoAs2SeBr crystal. Source: Alexandria via LeMat-Bulk, functional PBE.

The final energy comes out at -2.613 eV per atom. The calculation puts the energy above the most stable polymorph in this dataset at 1283 meV/atom.

The space group is P4/mmm (No. 123) and the conventional cell measures 5.025, 5.025 and 5.113 Å, with angles of 90.00, 90.00 and 90.00 degrees. The inequivalent atoms are Co at (0.000, 0.000, 0.000), As at (0.000, 0.500, 0.500), Se at (0.500, 0.500, 0.000) and Br at (0.500, 0.500, 0.500).


DOS at the Fermi energy across the listed records, respectively: 7.252 6.029 5.131 5.111 4.091 3.766 11.765 7.512 states/eV per cell.
Total magnetization across the listed records, respectively: 3.11 0.38 3.01 0.00 0.56 0.51 1.98 0.23 μB per formula unit.
Raw formation energy across the listed records, respectively: 5.35 2.88 5.83 2.80 1.57 -0.08 0.60 8.50 eV per formula unit.